# 1
Li2YCl: relaxed, GGA-PBE.

raw formation energy: -0.5950 eV/atom
calculated volume: 98.0 Å³/cell
final energy: -0.267 Ry per atom
crystal system: monoclinic
SG: No. 6

```
4
Lattice="3.691 0.000 0.000 0.000 3.418 0.000 -0.437 0.000 7.771" Properties=species:S:1:pos:R:3 pbc="T T T"
Li 0.000 0.000 0.000
Li 1.447 1.709 5.997
Y 3.303 0.000 3.962
Cl 3.261 1.709 1.706
```

# 2
Li3YCl6: relaxed, GGA-PBE.

raw formation energy: -1.9567 eV/atom
calculated volume: 455.4 Å³/cell
final energy: -0.315 Ry per atom
crystal system: monoclinic
SG: No. 14

```
20
Lattice="6.636 0.000 0.000 0.000 6.674 0.000 -6.635 0.000 10.283" Properties=species:S:1:pos:R:3 pbc="T T T"
Li 0.000 0.000 0.000
Li -3.317 3.337 5.142
Li -3.422 0.114 7.541
Li -0.105 3.223 2.400
Li 0.105 3.451 7.883
Li 3.423 6.559 2.742
Y 0.000 0.000 5.142
Y 3.318 3.337 0.000
Cl -0.908 0.753 2.729
Cl -4.226 2.584 7.871
Cl 1.033 4.536 0.620
Cl -2.284 5.474 5.762
Cl 2.242 1.126 0.961
Cl -1.075 2.211 6.103
Cl 1.076 4.463 4.180
Cl -2.241 5.548 9.322
Cl 2.285 1.199 4.521
Cl -1.033 2.138 9.663
Cl 4.226 4.090 2.412
Cl 0.909 5.921 7.554
```

# 3
Li2YCl: relaxed, GGA-PBE.

raw formation energy: -0.7129 eV/atom
calculated volume: 92.4 Å³/cell
final energy: -0.275 Ry per atom
crystal system: trigonal
SG: No. 166

```
4
Lattice="1.721 0.994 9.003 -1.721 0.994 9.003 0.000 -1.988 9.003" Properties=species:S:1:pos:R:3 pbc="T T T"
Li 0.000 0.000 6.026
Li 0.000 0.000 20.984
Y 0.000 0.000 0.000
Cl 0.000 0.000 13.505
```

Q: Look up the calculated volume of the second one.
A: 455.4 Å³/cell